The following is a DFT calculation (PBE-GGA) of a relaxed Re4POs crystal.

a b c (Å): 7.2826 7.2826 7.2826
angles (deg): 90.00 90.00 90.00
With the nearest neighbours (Å) after each atom.
Space group F-43m (No. 216)
Inequivalent atoms, fractional coordinates:
Re1 0.1244 0.1244 0.1244 x16  6 Re 2.56-2.59
P1 0.2500 0.2500 0.7500 x4  12 Re 3.02, 4 Os 3.15
Os1 0.0000 0.0000 0.5000 x4  12 Re 3.02, 4 P 3.15

The total magnetization is 0.000 μB/atom. The energy of formation is 952 meV per atom.

The following is a DFT calculation (PBE-GGA) of a relaxed LiPm2InO crystal.

a b c (Å): 4.9496 4.9496 4.3702
angles (deg): 90.00 90.00 90.00
With the nearest neighbours (Å) after each atom.
Space group P4/mmm (No. 123)
Inequivalent atoms, fractional coordinates:
Li1 0.0000 0.0000 0.0000 x1  2 O 2.19
Pm1 0.0000 0.5000 0.5000 x2  2 O 2.47
In1 0.5000 0.5000 0.0000 x1  8 Pm 3.30, 4 Li 3.50
O1 0.0000 0.0000 0.5000 x1  2 Li 2.19

Its uncorrected formation energy is -6.874 eV/f.u. The total magnetization is 0.000 μB/atom.

The following is a DFT calculation (PBE-GGA) of a relaxed Ac3Cd9Pb2 crystal.

a b c (Å): 4.9907 10.9297 14.4899
angles (deg): 90.00 90.00 90.00
With the nearest neighbours (Å) after each atom.
Space group Immm (No. 71)
Inequivalent atoms, fractional coordinates:
Ac1 0.0000 0.0000 0.0000 x2  12 Cd 3.67-3.68
Ac2 0.0000 0.0000 0.3029 x4  12 Cd 3.54-3.79, 2 Pb 3.56
Cd1 0.0000 0.2720 0.1488 x8  4 Cd 2.95-3.30
Cd2 0.0000 0.3709 0.3404 x8  4 Cd 2.82-2.98, 1 Pb 3.01
Cd3 0.0000 0.5000 0.0000 x2  4 Pb 3.28, 4 Cd 3.30
Pb1 0.0000 0.1951 0.5000 x4  8 Cd 3.01-3.32

The total magnetization is 0.000 μB/atom. The energy of formation is -284 meV per atom.

The following is a DFT calculation (PBE-GGA) of a relaxed BSbO3 crystal.

a b c (Å): 3.9009 3.9009 3.9009
angles (deg): 90.00 90.00 90.00
With the nearest neighbours (Å) after each atom.
Space group Pm-3m (No. 221)
Inequivalent atoms, fractional coordinates:
B1 0.0000 0.0000 0.0000 x1  12 O 2.76
Sb1 0.5000 0.5000 0.5000 x1  6 O 1.95
O1 0.0000 0.5000 0.5000 x3  2 Sb 1.95

Its uncorrected formation energy is -0.103 eV/f.u. The total magnetization is 0.000 μB/atom.

The following is a DFT calculation (PBE-GGA) of a relaxed CePd2Se crystal.

a b c (Å): 6.8022 6.8022 6.8022
angles (deg): 90.00 90.00 90.00
With the nearest neighbours (Å) after each atom.
Space group Fm-3m (No. 225)
Inequivalent atoms, fractional coordinates:
Ce1 0.0000 0.0000 0.0000 x4  8 Pd 2.95
Pd1 0.2500 0.2500 0.2500 x8  4 Se 2.95, 4 Ce 2.95
Se1 0.0000 0.0000 0.5000 x4  8 Pd 2.95

Its uncorrected formation energy is -2.610 eV/f.u. The total magnetization is 0.000 μB/atom.

The following is a DFT calculation (PBE-GGA) of a relaxed TiRePt2 crystal.

a b c (Å): 3.8266 3.8266 18.2492
angles (deg): 90.00 90.00 90.00
With the nearest neighbours (Å) after each atom.
Space group I-42d (No. 122)
Inequivalent atoms, fractional coordinates:
Ti1 0.0000 0.0000 0.0000 x4  4 Pt 2.65, 4 Re 2.71
Re1 0.0000 0.0000 0.5000 x4  4 Pt 2.65, 4 Ti 2.71
Pt1 0.2493 0.2500 0.6250 x8  2 Re 2.65, 2 Ti 2.65, 4 Pt 2.70-2.71

The total magnetization is 0.000 μB/atom. The energy of formation is 28 meV per atom.

The following is a DFT calculation (PBE-GGA) of a relaxed Pm4Ge3Te crystal.

a b c (Å): 6.1094 6.1094 6.1094
angles (deg): 90.00 90.00 90.00
With the nearest neighbours (Å) after each atom.
Space group Pm-3m (No. 221)
Inequivalent atoms, fractional coordinates:
Pm1 0.0000 0.0000 0.0000 x1  6 Ge 3.05
Pm2 0.0000 0.5000 0.5000 x3  2 Te 3.05, 4 Ge 3.05
Ge1 0.0000 0.0000 0.5000 x3  6 Pm 3.05
Te1 0.5000 0.5000 0.5000 x1  6 Pm 3.05

Its uncorrected formation energy is -7.361 eV/f.u. The total magnetization is 0.000 μB/atom.

The following is a DFT calculation (PBE-GGA) of a relaxed Tb4SnRu crystal.

a b c (Å): 8.9071 13.4747 6.1537
angles (deg): 90.00 114.12 90.00
With the nearest neighbours (Å) after each atom.
Space group C2/c (No. 15)
Inequivalent atoms, fractional coordinates:
Tb1 0.1114 0.1695 0.0662 x8  2 Ru 2.90, 1 Sn 3.22
Tb2 0.2187 0.4301 0.3407 x8  2 Ru 2.89-2.93, 1 Sn 3.22
Sn1 0.0000 0.3717 0.7500 x4  8 Tb 3.22-3.44
Ru1 0.0000 0.9997 0.2500 x4  8 Tb 2.89-2.93, 2 Ru 3.08

The total magnetization is 0.000 μB/atom. The energy of formation is -471 meV per atom.

The following is a DFT calculation (PBE-GGA) of a relaxed La2Tb7In2 crystal.

a b c (Å): 9.0508 9.4107 8.5894
angles (deg): 90.00 106.08 90.00
With the nearest neighbours (Å) after each atom.
Space group C2/m (No. 12)
Inequivalent atoms, fractional coordinates:
La1 0.0000 0.1821 0.0000 x4  6 Tb 3.32-3.49, 1 La 3.43
Tb1 0.0000 0.0000 0.5000 x2  2 In 3.33, 4 Tb 3.39
Tb2 0.1792 0.3043 0.6618 x8  3 In 3.24-3.40, 3 Tb 3.39-3.52, 1 La 3.49
Tb3 0.1897 0.5000 0.0137 x4  1 In 3.05, 2 La 3.32, 1 Tb 3.38
In1 0.1197 0.5000 0.3407 x4  8 Tb 3.05-3.40

The total magnetization is 0.000 μB/atom. The energy of formation is -27 meV per atom.

The following is a DFT calculation (PBE-GGA) of a relaxed MgCd8In2 crystal.

a b c (Å): 4.5486 4.5486 12.9409
angles (deg): 90.00 90.00 90.00
With the nearest neighbours (Å) after each atom.
Space group P4/mmm (No. 123)
Inequivalent atoms, fractional coordinates:
Mg1 0.0000 0.0000 0.0000 x1  8 Cd 2.96
Cd1 0.0000 0.5000 0.1464 x4  2 Mg 2.96, 6 Cd 3.22-3.23, 2 In 3.25
Cd2 0.0000 0.5000 0.5000 x2  4 In 3.20, 8 Cd 3.22
Cd3 0.5000 0.5000 0.3237 x2  4 In 3.22, 8 Cd 3.22-3.23
In1 0.0000 0.0000 0.3257 x2  12 Cd 3.20-3.25

The total magnetization is 0.000 μB/atom. The energy of formation is 45 meV per atom.

The following is a DFT calculation (PBE-GGA) of a relaxed Ca3Zn crystal.

a b c (Å): 6.4346 6.4346 6.4346
angles (deg): 90.00 90.00 90.00
With the nearest neighbours (Å) after each atom.
Space group Pm-3n (No. 223)
Inequivalent atoms, fractional coordinates:
Ca1 0.0000 0.2500 0.5000 x6  2 Ca 3.22, 4 Zn 3.60
Zn1 0.0000 0.0000 0.0000 x2  12 Ca 3.60

The total magnetization is 0.000 μB/atom. The energy of formation is 66 meV per atom.

The following is a DFT calculation (PBE-GGA) of a relaxed CaY2Be crystal.

a b c (Å): 4.1884 3.7112 8.0752
angles (deg): 90.00 104.98 90.00
With the nearest neighbours (Å) after each atom.
Space group Pm (No. 6)
Inequivalent atoms, fractional coordinates:
Ca1 0.0000 0.0000 0.0000 x1  2 Be 3.06
Y1 0.3320 0.5000 0.6636 x1  1 Be 2.74
Y2 0.6948 0.0000 0.3871 x1  4 Be 2.86
Be1 0.1586 0.5000 0.3126 x1  5 Y 2.74-2.86, 2 Ca 3.06

The total magnetization is 0.000 μB/atom. The energy of formation is 244 meV per atom.

The following is a DFT calculation (PBE-GGA) of a relaxed Tb2HoTm5Sc crystal.

a b c (Å): 5.4757 19.6668 10.2588
angles (deg): 90.00 90.00 90.00
With the nearest neighbours (Å) after each atom.
Space group Cmc2_1 (No. 36)
Inequivalent atoms, fractional coordinates:
Tb1 0.0000 0.1115 0.0000 x4  9 Tm 3.24-3.55, 1 Sc 3.50
Tb2 0.0000 0.1142 0.4208 x4  1 Sc 3.29, 7 Tm 3.41-3.67, 2 Ho 3.59
Ho1 0.0000 0.4099 0.1417 x4  5 Tm 2.98-3.23
Tm1 0.0000 0.0177 0.7045 x4  2 Ho 3.15, 3 Tb 3.30-3.47, 1 Sc 3.51
Tm2 0.0000 0.2761 0.0048 x4  1 Ho 2.98, 1 Tb 3.24, 2 Tm 3.33
Tm3 0.0000 0.3001 0.3905 x4  4 Tm 3.33-3.59, 1 Ho 3.34, 2 Sc 3.37, 3 Tb 3.43-3.67
Tm4 0.0000 0.3783 0.7063 x4  4 Tb 3.47-3.52, 6 Tm 3.53-3.87, 1 Sc 3.58
Tm5 0.0000 0.4813 0.4248 x4  2 Ho 3.09-3.23, 2 Tb 3.38
Sc1 0.0000 0.1963 0.6997 x4  2 Tb 3.29-3.50, 7 Tm 3.37-3.58, 2 Ho 3.50

The total magnetization is 0.000 μB/atom. The energy of formation is 166 meV per atom.

The following is a DFT calculation (PBE-GGA) of a relaxed BaNaCl2 crystal.

a b c (Å): 6.8248 6.8248 13.7562
angles (deg): 90.00 90.00 90.00
With the nearest neighbours (Å) after each atom.
Space group I-42d (No. 122)
Inequivalent atoms, fractional coordinates:
Ba1 0.0000 0.0000 0.0000 x4  4 Cl 3.12
Na1 0.0000 0.0000 0.5000 x4  4 Cl 2.82
Cl1 0.2110 0.2500 0.6250 x8  2 Na 2.82, 2 Ba 3.12

Its uncorrected formation energy is -6.437 eV/f.u. The total magnetization is 0.134 μB/atom.

The following is a DFT calculation (PBE-GGA) of a relaxed Tb2Er3Tl4 crystal.

a b c (Å): 9.0847 5.2511 10.5038
angles (deg): 90.00 90.07 90.00
With the nearest neighbours (Å) after each atom.
Space group C2/m (No. 12)
Inequivalent atoms, fractional coordinates:
Tb1 0.1668 0.0000 0.2758 x4  7 Tl 3.28-3.44, 1 Er 3.67
Er1 0.0000 0.5000 0.5000 x2  6 Tl 3.22
Er2 0.1666 0.0000 0.9264 x4  4 Tl 3.15-3.39, 3 Er 3.40
Tl1 0.0000 0.5000 0.1543 x4  3 Er 3.15, 1 Tl 3.24, 3 Tb 3.29
Tl2 0.1665 0.0000 0.6034 x4  4 Er 3.22-3.39, 4 Tb 3.28-3.44

The total magnetization is 0.000 μB/atom. The energy of formation is -289 meV per atom.

The following is a DFT calculation (PBE-GGA) of a relaxed SiBi crystal.

a b c (Å): 6.5222 6.5222 6.5222
angles (deg): 90.00 90.00 90.00
With the nearest neighbours (Å) after each atom.
Space group F-43m (No. 216)
Inequivalent atoms, fractional coordinates:
Si1 0.0000 0.0000 0.0000 x4  4 Bi 2.82
Bi1 0.2500 0.2500 0.7500 x4  4 Si 2.82

Its uncorrected formation energy is 1.194 eV/f.u. The total magnetization is 0.000 μB/atom.

The following is a DFT calculation (PBE-GGA) of a relaxed LaBeW2 crystal.

a b c (Å): 3.2518 3.2518 6.9930
angles (deg): 90.00 90.00 90.00
With the nearest neighbours (Å) after each atom.
Space group P4/mmm (No. 123)
Inequivalent atoms, fractional coordinates:
La1 0.0000 0.0000 0.0000 x1  4 La 3.25, 8 W 3.28, 2 Be 3.50
Be1 0.0000 0.0000 0.5000 x1  8 W 2.57
W1 0.5000 0.5000 0.3343 x2  1 W 2.32, 4 Be 2.57

The total magnetization is 0.000 μB/atom. The energy of formation is 532 meV per atom.

The following is a DFT calculation (PBE-GGA) of a relaxed AgHPt crystal.

a b c (Å): 10.2608 5.8165 9.9966
angles (deg): 90.00 90.00 90.00
With the nearest neighbours (Å) after each atom.
Space group Pna2_1 (No. 33)
Inequivalent atoms, fractional coordinates:
Ag1 0.0108 0.2479 0.0000 x4  3 H 2.27-2.53
Ag2 0.0694 0.0022 0.7373 x4  1 H 2.05
Ag3 0.1823 0.2474 0.2345 x4  2 H 2.26-2.36
Ag4 0.2368 0.5043 0.4948 x4  2 H 2.46-2.58
H1 0.0787 0.5634 0.3127 x4  2 Pt 1.73-1.76
H2 0.0935 0.0737 0.4277 x4  2 Pt 1.74
H3 0.0968 0.7143 0.8524 x4  2 Pt 1.73-1.79
H4 0.2022 0.3604 0.8550 x4  3 Pt 1.78-1.97
Pt1 0.0184 0.7447 0.0051 x4  2 H 1.73-1.74
Pt2 0.0706 0.4903 0.7329 x4  2 H 1.76-1.79
Pt3 0.1847 0.7528 0.2361 x4  2 H 1.73-1.78
Pt4 0.2423 0.0085 0.5020 x4  2 H 1.74-1.80

The total magnetization is 0.000 μB/atom. As for the total energy: -4.0524 eV per atom.

The following is a DFT calculation (PBE-GGA) of a relaxed Na4TbNp3Te8 crystal.

a b c (Å): 8.9628 8.9628 22.5387
angles (deg): 90.00 90.00 120.00
With the nearest neighbours (Å) after each atom.
Space group R-3m (No. 166, hexagonal axes)
Inequivalent atoms, fractional coordinates:
Na1 0.0000 0.0000 0.0000 x3  6 Te 3.28
Na2 0.0000 0.5000 0.0000 x9  6 Te 3.26-3.27
Tb1 0.0000 0.0000 0.5000 x3  6 Te 3.11
Np1 0.0000 0.5000 0.5000 x9  6 Te 3.12-3.14
Te1 0.0000 0.0000 0.2444 x6  3 Np 3.12, 3 Na 3.27
Te2 0.0025 0.5013 0.2448 x18  1 Tb 3.11, 2 Np 3.14, 3 Na 3.26-3.28

Its uncorrected formation energy is -14.952 eV/f.u. The total magnetization is 0.750 μB/atom.

The following is a DFT calculation (PBE-GGA) of a relaxed CdSi2Se crystal.

a b c (Å): 6.7804 6.7804 6.7804
angles (deg): 90.00 90.00 90.00
With the nearest neighbours (Å) after each atom.
Space group F-43m (No. 216)
Inequivalent atoms, fractional coordinates:
Cd1 0.0000 0.0000 0.0000 x4  4 Se 2.94, 4 Si 2.94
Si1 0.0000 0.0000 0.5000 x4  4 Se 2.94, 4 Si 2.94
Si2 0.2500 0.2500 0.7500 x4  4 Cd 2.94, 4 Si 2.94
Se1 0.2500 0.2500 0.2500 x4  4 Cd 2.94, 4 Si 2.94

Its uncorrected formation energy is 2.189 eV/f.u. The total magnetization is 0.000 μB/atom.